1.
# PBE TaSi2BiW, optimized geometry
# - uncorrected energy (eV per atom) = -6.675
# - DOS(E_F) (states/eV per atom) = 0.85
# - crystal system = tetragonal
# - total magnetic moment (μB per formula unit) = 0.8
data_TaSi2BiW
_space_group_name_H-M_alt 'P 1'
_space_group_IT_number 1
_space_group_name_Hall 'P 1'
_cell_length_a 4.8615
_cell_length_b 4.9942
_cell_length_c 4.8615
_cell_angle_alpha 90.00
_cell_angle_beta 90.00
_cell_angle_gamma 90.00
loop_
_atom_site_label
_atom_site_type_symbol
_atom_site_fract_x
_atom_site_fract_y
_atom_site_fract_z
Si1 Si 0.5000 0.0000 0.0000
W1 W 0.0000 0.5000 0.0000
Bi1 Bi 0.5000 0.5000 0.5000
Ta1 Ta 0.0000 0.0000 0.0000
Si2 Si 0.0000 0.0000 0.5000

2.
# PBE TaZn2SiBi, optimized geometry
# - uncorrected energy (eV per atom) = -3.652
# - DOS(E_F) (states/eV per atom) = 0.89
# - crystal system = tetragonal
# - total magnetic moment (μB per formula unit) = 2.4
data_TaZn2SiBi
_space_group_name_H-M_alt 'P 1'
_space_group_IT_number 1
_space_group_name_Hall 'P 1'
_cell_length_a 4.5381
_cell_length_b 5.7376
_cell_length_c 4.5381
_cell_angle_alpha 90.00
_cell_angle_beta 90.00
_cell_angle_gamma 90.00
loop_
_atom_site_label
_atom_site_type_symbol
_atom_site_fract_x
_atom_site_fract_y
_atom_site_fract_z
Bi1 Bi 0.0000 0.5000 0.0000
Ta1 Ta 0.5000 0.5000 0.5000
Zn1 Zn 0.5000 0.0000 0.0000
Zn2 Zn 0.0000 0.0000 0.5000
Si1 Si 0.0000 0.0000 0.0000

3.
# PBE Tb6SiBi3, optimized geometry
# - uncorrected energy (eV per atom) = -5.086
# - DOS(E_F) (states/eV per atom) = 0.90
# - crystal system = monoclinic
# - total magnetic moment (μB per formula unit) = 0.0
data_Tb6SiBi3
_space_group_name_H-M_alt 'P 1'
_space_group_IT_number 1
_space_group_name_Hall 'P 1'
_cell_length_a 7.0888
_cell_length_b 8.3907
_cell_length_c 10.4014
_cell_angle_alpha 90.00
_cell_angle_beta 89.34
_cell_angle_gamma 90.00
loop_
_atom_site_label
_atom_site_type_symbol
_atom_site_fract_x
_atom_site_fract_y
_atom_site_fract_z
Tb1 Tb 0.3642 0.8069 0.4407
Tb2 Tb 0.1609 0.3371 0.4432
Bi1 Bi 0.9330 0.3790 0.7532
Si1 Si 0.5000 0.5000 0.5000
Bi2 Bi 0.0000 0.0000 0.5000
Tb3 Tb 0.3391 0.8371 0.0568
Bi3 Bi 0.5000 0.5000 0.0000
Si2 Si 0.0000 0.0000 0.0000
Tb4 Tb 0.3193 0.5596 0.7377
Tb5 Tb 0.6807 0.4404 0.2623
Tb6 Tb 0.6609 0.1629 0.9432
Tb7 Tb 0.1807 0.0596 0.7623
Bi4 Bi 0.5670 0.8790 0.7468
Tb8 Tb 0.8193 0.9404 0.2377
Tb9 Tb 0.8642 0.6931 0.9407
Tb10 Tb 0.6358 0.1931 0.5593
Tb11 Tb 0.1358 0.3069 0.0593
Bi5 Bi 0.0670 0.6210 0.2468
Bi6 Bi 0.4330 0.1210 0.2532
Tb12 Tb 0.8391 0.6629 0.5568

4.
# PBE TbSiBi, optimized geometry
# - uncorrected energy (eV per atom) = -5.143
# - DOS(E_F) (states/eV per atom) = 0.36
# - crystal system = orthorhombic
# - total magnetic moment (μB per formula unit) = 0.0
data_TbSiBi
_space_group_name_H-M_alt 'P 1'
_space_group_IT_number 1
_space_group_name_Hall 'P 1'
_cell_length_a 4.0786
_cell_length_b 4.4997
_cell_length_c 8.5621
_cell_angle_alpha 74.77
_cell_angle_beta 90.00
_cell_angle_gamma 90.00
loop_
_atom_site_label
_atom_site_type_symbol
_atom_site_fract_x
_atom_site_fract_y
_atom_site_fract_z
Bi1 Bi 0.7500 0.7463 0.5074
Bi2 Bi 0.2500 0.2537 0.4926
Tb1 Tb 0.7500 0.0922 0.8156
Tb2 Tb 0.2500 0.9078 0.1844
Si1 Si 0.2500 0.5438 0.9124
Si2 Si 0.7500 0.4562 0.0876

5.
# PBE Tb6SiBi2, optimized geometry
# - uncorrected energy (eV per atom) = -4.752
# - DOS(E_F) (states/eV per atom) = 1.70
# - crystal system = tetragonal
# - total magnetic moment (μB per formula unit) = 2.2
data_Tb6SiBi2
_space_group_name_H-M_alt 'P 1'
_space_group_IT_number 1
_space_group_name_Hall 'P 1'
_cell_length_a 6.9891
_cell_length_b 6.9891
_cell_length_c 13.3407
_cell_angle_alpha 90.00
_cell_angle_beta 90.00
_cell_angle_gamma 90.00
loop_
_atom_site_label
_atom_site_type_symbol
_atom_site_fract_x
_atom_site_fract_y
_atom_site_fract_z
Bi1 Bi 0.5000 0.5000 0.8300
Si1 Si 0.0000 0.0000 0.0000
Tb1 Tb 0.7823 0.2177 0.5000
Tb2 Tb 0.3051 0.3051 0.3511
Tb3 Tb 0.2823 0.2823 0.0000
Tb4 Tb 0.2177 0.7823 0.5000
Bi2 Bi 0.0000 0.0000 0.3300
Tb5 Tb 0.8051 0.1949 0.1489
Tb6 Tb 0.1949 0.8051 0.8511
Tb7 Tb 0.6949 0.6949 0.6489
Bi3 Bi 0.0000 0.0000 0.6700
Si2 Si 0.5000 0.5000 0.5000
Tb8 Tb 0.7177 0.7177 0.0000
Tb9 Tb 0.6949 0.6949 0.3511
Bi4 Bi 0.5000 0.5000 0.1700
Tb10 Tb 0.8051 0.1949 0.8511
Tb11 Tb 0.3051 0.3051 0.6489
Tb12 Tb 0.1949 0.8051 0.1489

6.
# PBE Tb3SiBi2, optimized geometry
# - uncorrected energy (eV per atom) = -5.234
# - DOS(E_F) (states/eV per atom) = 0.52
# - crystal system = monoclinic
# - total magnetic moment (μB per formula unit) = 0.0
data_Tb3SiBi2
_space_group_name_H-M_alt 'P 1'
_space_group_IT_number 1
_space_group_name_Hall 'P 1'
_cell_length_a 7.4646
_cell_length_b 7.5817
_cell_length_c 7.5817
_cell_angle_alpha 118.91
_cell_angle_beta 99.64
_cell_angle_gamma 99.64
loop_
_atom_site_label
_atom_site_type_symbol
_atom_site_fract_x
_atom_site_fract_y
_atom_site_fract_z
Tb1 Tb 0.5068 0.3544 0.2030
Bi1 Bi 0.7500 0.0813 0.9187
Bi2 Bi 0.2500 0.2400 0.7600
Tb2 Tb 0.0068 0.2030 0.3544
Tb3 Tb 0.4932 0.6456 0.7970
Si1 Si 0.2500 0.5893 0.4107
Bi3 Bi 0.7500 0.7600 0.2400
Tb4 Tb 0.5000 0.0000 0.5000
Bi4 Bi 0.2500 0.9187 0.0813
Tb5 Tb 0.0000 0.5000 0.0000
Tb6 Tb 0.9932 0.7970 0.6456
Si2 Si 0.7500 0.4107 0.5893

7.
# PBE Tb4SiBi2, optimized geometry
# - uncorrected energy (eV per atom) = -5.062
# - DOS(E_F) (states/eV per atom) = 0.82
# - crystal system = monoclinic
# - total magnetic moment (μB per formula unit) = 0.0
data_Tb4SiBi2
_space_group_name_H-M_alt 'P 1'
_space_group_IT_number 1
_space_group_name_Hall 'P 1'
_cell_length_a 6.7382
_cell_length_b 6.5771
_cell_length_c 9.7983
_cell_angle_alpha 90.00
_cell_angle_beta 109.09
_cell_angle_gamma 90.00
loop_
_atom_site_label
_atom_site_type_symbol
_atom_site_fract_x
_atom_site_fract_y
_atom_site_fract_z
Si1 Si 0.8627 0.2500 0.8393
Tb1 Tb 0.9432 0.2500 0.1417
Bi1 Bi 0.2970 0.2500 0.9470
Tb2 Tb 0.5134 0.9981 0.7574
Bi2 Bi 0.2990 0.2500 0.4603
Tb3 Tb 0.0568 0.7500 0.8583
Tb4 Tb 0.4866 0.4981 0.2426
Si2 Si 0.1373 0.7500 0.1607
Bi3 Bi 0.7030 0.7500 0.0530
Tb5 Tb 0.5134 0.5019 0.7574
Tb6 Tb 0.8890 0.2500 0.5600
Bi4 Bi 0.7010 0.7500 0.5397
Tb7 Tb 0.4866 0.0019 0.2426
Tb8 Tb 0.1110 0.7500 0.4400

8.
# PBE Tb7Si2Bi2, optimized geometry
# - uncorrected energy (eV per atom) = -5.036
# - DOS(E_F) (states/eV per atom) = 1.19
# - crystal system = orthorhombic
# - total magnetic moment (μB per formula unit) = 0.0
data_Tb7Si2Bi2
_space_group_name_H-M_alt 'P 1'
_space_group_IT_number 1
_space_group_name_Hall 'P 1'
_cell_length_a 7.0631
_cell_length_b 6.8364
_cell_length_c 7.0631
_cell_angle_alpha 90.00
_cell_angle_beta 99.91
_cell_angle_gamma 90.00
loop_
_atom_site_label
_atom_site_type_symbol
_atom_site_fract_x
_atom_site_fract_y
_atom_site_fract_z
Tb1 Tb 0.0000 0.0000 0.0000
Tb2 Tb 0.4998 0.2394 0.5002
Si1 Si 0.7282 0.0000 0.2718
Tb3 Tb 0.5003 0.7486 0.9998
Si2 Si 0.2718 0.0000 0.7282
Tb4 Tb 0.5002 0.7606 0.4998
Tb5 Tb 0.0002 0.7486 0.4997
Bi1 Bi 0.8040 0.5000 0.8040
Bi2 Bi 0.1960 0.5000 0.1960
Tb6 Tb 0.9998 0.2514 0.5003
Tb7 Tb 0.4997 0.2514 0.0002

9.
# PBE Tb3SiBi, optimized geometry
# - uncorrected energy (eV per atom) = -5.297
# - DOS(E_F) (states/eV per atom) = 0.67
# - crystal system = orthorhombic
# - total magnetic moment (μB per formula unit) = 0.0
data_Tb3SiBi
_space_group_name_H-M_alt 'P 1'
_space_group_IT_number 1
_space_group_name_Hall 'P 1'
_cell_length_a 4.4071
_cell_length_b 6.8755
_cell_length_c 9.5114
_cell_angle_alpha 90.00
_cell_angle_beta 90.00
_cell_angle_gamma 90.00
loop_
_atom_site_label
_atom_site_type_symbol
_atom_site_fract_x
_atom_site_fract_y
_atom_site_fract_z
Si1 Si 0.2500 0.2500 0.6020
Tb1 Tb 0.2500 0.4912 0.3424
Si2 Si 0.7500 0.7500 0.3980
Tb2 Tb 0.2500 0.2500 0.9130
Tb3 Tb 0.7500 0.5088 0.6576
Bi1 Bi 0.2500 0.7500 0.8509
Tb4 Tb 0.7500 0.9912 0.6576
Tb5 Tb 0.2500 0.0088 0.3424
Tb6 Tb 0.7500 0.7500 0.0870
Bi2 Bi 0.7500 0.2500 0.1491

10.
# PBE Tb4Si2Bi, optimized geometry
# - uncorrected energy (eV per atom) = -5.316
# - DOS(E_F) (states/eV per atom) = 0.71
# - crystal system = tetragonal
# - total magnetic moment (μB per formula unit) = 0.0
data_Tb4Si2Bi
_space_group_name_H-M_alt 'P 1'
_space_group_IT_number 1
_space_group_name_Hall 'P 1'
_cell_length_a 8.1652
_cell_length_b 8.1652
_cell_length_c 8.1677
_cell_angle_alpha 109.68
_cell_angle_beta 109.71
_cell_angle_gamma 109.01
loop_
_atom_site_label
_atom_site_type_symbol
_atom_site_fract_x
_atom_site_fract_y
_atom_site_fract_z
Si1 Si 0.6250 0.3750 0.7500
Tb1 Tb 0.8419 0.6620 0.1797
Tb2 Tb 0.9121 0.5919 0.6797
Bi1 Bi 0.2502 0.7502 0.5000
Tb3 Tb 0.3379 0.1581 0.8203
Tb4 Tb 0.3378 0.5176 0.1797
Si2 Si 0.6250 0.3750 0.2500
Tb5 Tb 0.4823 0.6622 0.8203
Tb6 Tb 0.9122 0.2324 0.3203
Si3 Si 0.6250 0.8750 0.2500
Tb7 Tb 0.7677 0.0878 0.6796
Tb8 Tb 0.4081 0.0880 0.3204
Si4 Si 0.1250 0.3750 0.7500
Bi2 Bi 0.9997 0.9997 0.0000

11.
# PBE Tb4SiBi, optimized geometry
# - uncorrected energy (eV per atom) = -5.012
# - DOS(E_F) (states/eV per atom) = 1.21
# - crystal system = monoclinic
# - total magnetic moment (μB per formula unit) = 0.0
data_Tb4SiBi
_space_group_name_H-M_alt 'P 1'
_space_group_IT_number 1
_space_group_name_Hall 'P 1'
_cell_length_a 6.1842
_cell_length_b 7.5593
_cell_length_c 8.5066
_cell_angle_alpha 103.42
_cell_angle_beta 111.32
_cell_angle_gamma 90.00
loop_
_atom_site_label
_atom_site_type_symbol
_atom_site_fract_x
_atom_site_fract_y
_atom_site_fract_z
Tb1 Tb 0.2732 0.6418 0.3397
Tb2 Tb 0.0665 0.1418 0.3397
Tb3 Tb 0.7268 0.3582 0.6603
Si1 Si 0.5000 0.0000 0.5000
Tb4 Tb 0.4804 0.9444 0.1635
Tb5 Tb 0.5196 0.0556 0.8365
Bi1 Bi 0.1280 0.2500 0.0000
Tb6 Tb 0.3170 0.5556 0.8365
Tb7 Tb 0.6830 0.4444 0.1635
Si2 Si 0.0000 0.5000 0.5000
Bi2 Bi 0.8720 0.7500 0.0000
Tb8 Tb 0.9335 0.8582 0.6603

12.
# PBE Tb5Si2Bi, optimized geometry
# - uncorrected energy (eV per atom) = -5.410
# - DOS(E_F) (states/eV per atom) = 1.18
# - crystal system = tetragonal
# - total magnetic moment (μB per formula unit) = 1.7
data_Tb5Si2Bi
_space_group_name_H-M_alt 'P 1'
_space_group_IT_number 1
_space_group_name_Hall 'P 1'
_cell_length_a 7.8679
_cell_length_b 7.8679
_cell_length_c 8.8276
_cell_angle_alpha 116.46
_cell_angle_beta 116.46
_cell_angle_gamma 90.00
loop_
_atom_site_label
_atom_site_type_symbol
_atom_site_fract_x
_atom_site_fract_y
_atom_site_fract_z
Tb1 Tb 0.5189 0.7055 0.7244
Tb2 Tb 0.5000 0.5000 0.0000
Bi1 Bi 0.2500 0.2500 0.5000
Tb3 Tb 0.2055 0.0189 0.7244
Si1 Si 0.6446 0.1446 0.0000
Tb4 Tb 0.7945 0.9811 0.2756
Bi2 Bi 0.7500 0.7500 0.5000
Si2 Si 0.8554 0.6446 0.0000
Tb5 Tb 0.7055 0.2055 0.7244
Si3 Si 0.1446 0.3554 0.0000
Tb6 Tb 0.2945 0.7945 0.2756
Tb7 Tb 0.9811 0.4811 0.2756
Tb8 Tb 0.0189 0.5189 0.7244
Si4 Si 0.3554 0.8554 0.0000
Tb9 Tb 0.4811 0.2945 0.2756
Tb10 Tb 0.0000 0.0000 0.0000